Compound: La2Ti2Ru
Source: Alexandria
Functional: PBE
Structure: relaxed

Lattice parameters (Å, degrees): 6.550 6.550 5.441 90.00 90.00 90.00
Fractional coordinates of all 10 atoms:
1 La 0.172 0.328 0.000
2 La 0.328 0.828 0.000
3 La 0.672 0.172 0.000
4 La 0.828 0.672 0.000
5 Ti 0.155 0.655 0.500
6 Ti 0.345 0.155 0.500
7 Ti 0.655 0.845 0.500
8 Ti 0.845 0.345 0.500
9 Ru 0.000 0.000 0.500
10 Ru 0.500 0.500 0.500

Output
Energy of formation from the pure elements ... -1 meV per atom
DFT total energy ... -69.852 eV per cell
Space group ... P4/mbm (127)
Density of states at the Fermi level ... 1.641 states/eV/atom